Record 1
Material: LaTaMn2
Method: DFT, SCAN
State: PBEsol geometry

CIF file:
```
data_LaTaMn2
_chemical_formula_sum 'La2 Ta2 Mn4'
_symmetry_space_group_name_H-M 'P 1'
_symmetry_Int_Tables_number 1
_symmetry_space_group_name_Hall 'P 1'
_cell_length_a 3.065
_cell_length_b 4.027
_cell_length_c 12.234
_cell_angle_alpha 90.00
_cell_angle_beta 90.00
_cell_angle_gamma 90.00
loop_
_atom_site_label
_atom_site_type_symbol
_atom_site_fract_x
_atom_site_fract_y
_atom_site_fract_z
La1 La 0.000 0.000 0.000
La2 La 0.500 0.500 0.500
Ta1 Ta 0.000 0.500 0.229
Ta2 Ta 0.500 0.000 0.729
Mn1 Mn 0.000 0.000 0.378
Mn2 Mn 0.000 0.500 0.745
Mn3 Mn 0.500 0.000 0.245
Mn4 Mn 0.500 0.500 0.878
```

Output
**Total DFT energy (no corrections)**: -36.129 eV/atom
**Energy relative to the elements**: 421 meV per atom
**Calculated volume**: 18.9 Å³/atom

Record 2
Material: LaTaMn
Method: DFT, SCAN
State: PBEsol geometry

CIF file:
```
data_LaTaMn
_chemical_formula_sum 'La4 Ta4 Mn4'
_symmetry_space_group_name_H-M 'P 1'
_symmetry_Int_Tables_number 1
_symmetry_space_group_name_Hall 'P 1'
_cell_length_a 6.398
_cell_length_b 6.398
_cell_length_c 6.398
_cell_angle_alpha 90.00
_cell_angle_beta 90.00
_cell_angle_gamma 90.00
loop_
_atom_site_label
_atom_site_type_symbol
_atom_site_fract_x
_atom_site_fract_y
_atom_site_fract_z
La1 La 0.000 0.000 0.000
La2 La 0.000 0.500 0.500
La3 La 0.500 0.000 0.500
La4 La 0.500 0.500 0.000
Ta1 Ta 0.250 0.250 0.250
Ta2 Ta 0.250 0.750 0.750
Ta3 Ta 0.750 0.250 0.750
Ta4 Ta 0.750 0.750 0.250
Mn1 Mn 0.250 0.250 0.750
Mn2 Mn 0.250 0.750 0.250
Mn3 Mn 0.750 0.250 0.250
Mn4 Mn 0.750 0.750 0.750
```

Output
**Excess energy over the best structure of this formula in the dataset**: 1018 meV per atom
**Total DFT energy (no corrections)**: -41.184 eV/atom
**Energy relative to the elements**: 1464 meV per atom
**Calculated volume**: 21.8 Å³/atom

Record 3
Material: La2TaMn
Method: DFT, SCAN
State: PBEsol geometry

CIF file:
```
data_La2TaMn
_chemical_formula_sum 'La6 Ta3 Mn3'
_symmetry_space_group_name_H-M 'P 1'
_symmetry_Int_Tables_number 1
_symmetry_space_group_name_Hall 'P 1'
_cell_length_a 3.261
_cell_length_b 3.261
_cell_length_c 30.240
_cell_angle_alpha 90.00
_cell_angle_beta 90.00
_cell_angle_gamma 120.00
loop_
_atom_site_label
_atom_site_type_symbol
_atom_site_fract_x
_atom_site_fract_y
_atom_site_fract_z
La1 La 0.000 0.000 0.247
La2 La 0.000 0.000 0.753
La3 La 0.333 0.667 0.420
La4 La 0.333 0.667 0.914
La5 La 0.667 0.333 0.086
La6 La 0.667 0.333 0.580
Ta1 Ta 0.000 0.000 0.000
Ta2 Ta 0.333 0.667 0.667
Ta3 Ta 0.667 0.333 0.333
Mn1 Mn 0.000 0.000 0.500
Mn2 Mn 0.333 0.667 0.167
Mn3 Mn 0.667 0.333 0.833
```

Output
**Total DFT energy (no corrections)**: -42.201 eV/atom
**Energy relative to the elements**: 561 meV per atom
**Calculated volume**: 23.2 Å³/atom

Record 4
Material: LaTa2Mn2
Method: DFT, SCAN
State: PBEsol geometry

CIF file:
```
data_LaTa2Mn2
_chemical_formula_sum 'La2 Ta4 Mn4'
_symmetry_space_group_name_H-M 'P 1'
_symmetry_Int_Tables_number 1
_symmetry_space_group_name_Hall 'P 1'
_cell_length_a 4.215
_cell_length_b 4.215
_cell_length_c 10.269
_cell_angle_alpha 90.00
_cell_angle_beta 90.00
_cell_angle_gamma 90.00
loop_
_atom_site_label
_atom_site_type_symbol
_atom_site_fract_x
_atom_site_fract_y
_atom_site_fract_z
La1 La 0.000 0.000 0.000
La2 La 0.500 0.500 0.500
Ta1 Ta 0.000 0.500 0.250
Ta2 Ta 0.000 0.500 0.750
Ta3 Ta 0.500 0.000 0.250
Ta4 Ta 0.500 0.000 0.750
Mn1 Mn 0.000 0.000 0.387
Mn2 Mn 0.000 0.000 0.613
Mn3 Mn 0.500 0.500 0.113
Mn4 Mn 0.500 0.500 0.887
```

Output
**Total DFT energy (no corrections)**: -42.332 eV/atom
**Energy relative to the elements**: 224 meV per atom
**Calculated volume**: 18.2 Å³/atom